# 1
Material: KAuC2N2
Method: DFT, GGA-PBE
State: optimized geometry

It has space group R-3 (No. 148, hexagonal axes), with a = 7.1427 Å, b = 7.1427 Å, c = 26.5970 Å, α = 90.00°, β = 90.00° and γ = 120.00°. The distinct sites, in fractional coordinates, are K at (0.0000, 0.0000, 0.0000), K at (0.0000, 0.0000, 0.3440), Au at (0.0000, 0.5000, 0.5000), C at (0.0073, 0.5985, 0.4300) and N at (0.0114, 0.6545, 0.3882).

For the final energy, the calculation gives -6.664 eV/atom.

---

# 2
Material: KAuC2S2N2
Method: DFT, GGA-PBE
State: optimized geometry

It has space group C2/c (No. 15), with a = 13.188 Å, b = 6.053 Å, c = 17.890 Å, α = 90.00°, β = 110.43° and γ = 90.00°. The distinct sites, in fractional coordinates, are K at (0.169, 0.021, 0.052), Au at (0.000, 0.176, 0.250), Au at (0.000, 0.326, 0.750), C at (0.011, 0.438, 0.412), C at (0.228, 0.055, 0.365), S at (0.006, 0.301, 0.882), S at (0.188, 0.194, 0.280), N at (0.014, 0.256, 0.436) and N at (0.240, 0.466, 0.072).

For the final energy, the calculation gives -6.048 eV/atom.

---

# 3
Material: Lu4AuC3
Method: DFT, GGA-PBE
State: optimized geometry

It has space group P6_3/mmc (No. 194), with a = 3.5069 Å, b = 3.5069 Å, c = 25.7117 Å, α = 90.00°, β = 90.00° and γ = 120.00°. The distinct sites, in fractional coordinates, are Lu at (0.0000, 0.0000, 0.1606), Lu at (0.3333, 0.6667, 0.0556), Au at (0.3333, 0.6667, 0.2500), C at (0.0000, 0.0000, 0.0000) and C at (0.3333, 0.6667, 0.6160).

For the final energy, the calculation gives -6.540 eV/atom.